The following is a DFT calculation (GGA-PBEsol) of a relaxed CdTc2Ru crystal.

a = 2.692 Å, b = 2.692 Å, c = 9.244 Å
α = 90.00°, β = 90.00°, γ = 115.75°
Positions (direct):
Cd (0.000, 0.000, 0.000)
Tc (0.000, 0.000, 0.503)
Tc (0.500, 0.500, 0.271)
Ru (0.500, 0.500, 0.736)

Results
DOS(E_F) (states/eV per atom): 1.071
ΔH_f (0 K) (eV/atom): 0.402
VASP energy (eV/atom): -8.07
Magnetic moment (Bohr magnetons per cell): 0.00
Calculated volume (Å³ per atom): 15.1

The following is a DFT calculation (GGA-PBEsol) of a relaxed Mo3ClO crystal.

a = 4.108 Å, b = 4.108 Å, c = 4.108 Å
α = 90.00°, β = 90.00°, γ = 90.00°
Positions (direct):
Mo (0.000, 0.000, 0.500)
Mo (0.000, 0.500, 0.000)
Mo (0.500, 0.000, 0.000)
Cl (0.500, 0.500, 0.500)
O (0.000, 0.000, 0.000)

Results
DOS(E_F) (states/eV per atom): 0.926
VASP energy (eV/atom): -8.07
Magnetic moment (Bohr magnetons per cell): 0.00
Calculated volume (Å³ per atom): 13.9

The following is a DFT calculation (GGA-PBEsol) of a relaxed MnO2 crystal.

a = 5.628 Å, b = 5.628 Å, c = 8.640 Å
α = 90.00°, β = 90.00°, γ = 120.00°
Positions (direct):
Mn (0.168, 0.335, 0.000)
Mn (0.168, 0.832, 0.000)
Mn (0.333, 0.667, 0.726)
Mn (0.335, 0.168, 0.500)
Mn (0.665, 0.832, 0.000)
Mn (0.667, 0.333, 0.226)
Mn (0.832, 0.168, 0.500)
Mn (0.832, 0.665, 0.500)
O (0.000, 0.000, 0.392)
O (0.000, 0.000, 0.892)
O (0.039, 0.519, 0.871)
O (0.166, 0.332, 0.613)
O (0.166, 0.834, 0.613)
O (0.332, 0.166, 0.113)
O (0.333, 0.667, 0.111)
O (0.481, 0.519, 0.871)
O (0.481, 0.961, 0.871)
O (0.519, 0.039, 0.371)
O (0.519, 0.481, 0.371)
O (0.667, 0.333, 0.611)
O (0.668, 0.834, 0.613)
O (0.834, 0.166, 0.113)
O (0.834, 0.668, 0.113)
O (0.961, 0.481, 0.371)

Results
DOS(E_F) (states/eV per atom): 0.025
VASP energy (eV/atom): -8.35
Magnetic moment (Bohr magnetons per cell): 24.02
Calculated volume (Å³ per atom): 9.9

The following is a DFT calculation (GGA-PBEsol) of a relaxed ZnSn3Ge crystal.

a = 5.098 Å, b = 5.098 Å, c = 5.098 Å
α = 90.00°, β = 90.00°, γ = 90.00°
Positions (direct):
Zn (0.000, 0.000, 0.000)
Sn (0.000, 0.000, 0.500)
Sn (0.000, 0.500, 0.000)
Sn (0.500, 0.000, 0.000)
Ge (0.500, 0.500, 0.500)

Results
ΔE to the lowest computed polymorph (meV per atom): 0
DOS(E_F) (states/eV per atom): 0.514
ΔH_f (0 K) (eV/atom): 0.512
VASP energy (eV/atom): -3.35
Magnetic moment (Bohr magnetons per cell): 0.00
Calculated volume (Å³ per atom): 26.5

The following is a DFT calculation (GGA-PBEsol) of a relaxed YNiMo3 crystal.

a = 4.621 Å, b = 4.621 Å, c = 4.621 Å
α = 90.00°, β = 90.00°, γ = 90.00°
Positions (direct):
Y (0.000, 0.000, 0.000)
Ni (0.500, 0.500, 0.500)
Mo (0.000, 0.000, 0.500)
Mo (0.000, 0.500, 0.000)
Mo (0.500, 0.000, 0.000)

Results
ΔE to the lowest computed polymorph (meV per atom): 1689
DOS(E_F) (states/eV per atom): 1.254
ΔH_f (0 K) (eV/atom): 2.754
VASP energy (eV/atom): -6.90
Magnetic moment (Bohr magnetons per cell): 0.07
Calculated volume (Å³ per atom): 19.7

The following is a DFT calculation (GGA-PBEsol) of a relaxed AsPIrCl2 crystal.

a = 4.523 Å, b = 4.523 Å, c = 5.168 Å
α = 90.00°, β = 90.00°, γ = 90.00°
Positions (direct):
As (0.000, 0.000, 0.000)
P (0.000, 0.000, 0.500)
Ir (0.500, 0.500, 0.500)
Cl (0.000, 0.500, 0.000)
Cl (0.500, 0.000, 0.000)

Results
DOS(E_F) (states/eV per atom): 1.576
VASP energy (eV/atom): -3.68
Magnetic moment (Bohr magnetons per cell): 1.68
Calculated volume (Å³ per atom): 21.1

The following is a DFT calculation (GGA-PBEsol) of a relaxed ZrZnTe2 crystal.

a = 3.641 Å, b = 3.621 Å, c = 6.816 Å
α = 90.00°, β = 99.06°, γ = 90.00°
Positions (direct):
Zr (0.000, 0.000, 0.000)
Zn (0.000, 0.000, 0.500)
Te (0.428, 0.500, 0.759)
Te (0.572, 0.500, 0.241)

Results
DOS(E_F) (states/eV per atom): 0.434
VASP energy (eV/atom): -4.93
Magnetic moment (Bohr magnetons per cell): 0.00
Calculated volume (Å³ per atom): 22.2

The following is a DFT calculation (GGA-PBEsol) of a relaxed PRhPb crystal.

a = 4.464 Å, b = 4.464 Å, c = 4.464 Å
α = 60.00°, β = 60.00°, γ = 60.00°
Positions (direct):
P (0.000, 0.000, 0.000)
Rh (0.500, 0.500, 0.500)
Pb (0.750, 0.750, 0.750)

Results
DOS(E_F) (states/eV per atom): 0.559
ΔH_f (0 K) (eV/atom): 0.730
VASP energy (eV/atom): -5.25
Magnetic moment (Bohr magnetons per cell): 0.00
Calculated volume (Å³ per atom): 21.0

Among the records above, which one has the lowest DOS(E_F)?
MnO2